DFT (PBE+U) results for a geometry-optimized Cd2CoSbO6 structure.

The structure in POSCAR format:
```
Cd2CoSbO6
1.0
4.904 0.000 0.000
0.000 5.333 0.000
0.000 0.000 5.333
Cd O Co Sb
2 6 1 1
Cartesian
4.898 0.000 2.667 Cd
4.898 2.667 0.000 Cd
0.996 0.000 0.000 O
3.527 3.999 3.999 O
3.527 1.334 3.999 O
3.527 3.999 1.334 O
3.527 1.334 1.334 O
1.027 2.667 2.667 O
2.766 2.667 2.667 Co
2.919 0.000 0.000 Sb
```

## Properties
Space-group type: P4mm, No. 99
E, eV/atom: -5.047